1.
ScTiRu: relaxed, GGA-PBE.

* energy relative to the lowest polymorph listed for this composition: 254.3 meV/atom
* calculated formation energy: -165 meV per atom

Cell lengths 3.040, 4.109, 4.739 Å; angles 90.00, 90.43, 90.00 degrees
Space group P2/m (No. 10)
Inequivalent atoms, fractional coordinates:
Sc: 0.000 0.000 0.000 x1
Ti: 0.000 0.500 0.500 x1
Ru: 0.500 0.000 0.500 x1

---

2.
CsEuBr2: relaxed, GGA-PBE.

* formation energy from raw total energies: -1.50 eV/atom
* energy relative to the lowest polymorph listed for this composition: 0.0 meV/atom

Cell lengths 4.8157, 4.8157, 24.2021 Å; angles 90.00, 90.00, 120.00 degrees
Space group R-3m (No. 166, hexagonal axes)
Inequivalent atoms, fractional coordinates:
Cs: 0.0000 0.0000 0.0000 x3
Eu: 0.0000 0.0000 0.5000 x3
Br: 0.0000 0.0000 0.2286 x6

---

3.
Sr2MgAs: relaxed, GGA-PBE.

* energy relative to the lowest polymorph listed for this composition: 327.7 meV/atom
* calculated formation energy: -299 meV per atom

Cell lengths 4.503, 4.503, 6.654 Å; angles 90.00, 90.00, 90.00 degrees
Space group P4mm (No. 99)
Inequivalent atoms, fractional coordinates:
Sr: 0.000 0.000 0.000 x1
Sr: 0.500 0.500 0.372 x1
Mg: 0.500 0.500 0.837 x1
As: 0.000 0.000 0.509 x1

---

4.
KLiAl: relaxed, GGA-PBE.

* energy relative to the lowest polymorph listed for this composition: 40.9 meV/atom
* calculated formation energy: 38 meV per atom

Cell lengths 4.5156, 4.5156, 34.9572 Å; angles 90.00, 90.00, 120.00 degrees
Space group R3m (No. 160, hexagonal axes)
Inequivalent atoms, fractional coordinates:
K: 0.0000 0.0000 0.0000 x3
K: 0.0000 0.0000 0.4504 x3
Li: 0.0000 0.0000 0.1881 x3
Li: 0.0000 0.0000 0.5714 x3
Al: 0.0000 0.0000 0.2620 x3
Al: 0.0000 0.0000 0.8974 x3

---

5.
MnAlCl2: relaxed, GGA-PBE.

* formation energy from raw total energies: 0.23 eV/atom
* energy relative to the lowest polymorph listed for this composition: 867.3 meV/atom

Cell lengths 7.008, 7.008, 7.008 Å; angles 90.00, 90.00, 90.00 degrees
Space group F-43m (No. 216)
Inequivalent atoms, fractional coordinates:
Mn: 0.000 0.000 0.000 x4
Al: 0.250 0.250 0.750 x4
Cl: 0.000 0.000 0.500 x4
Cl: 0.250 0.250 0.250 x4

---

6.
YTiSeBr2: relaxed, GGA-PBE.

* formation energy from raw total energies: -0.39 eV/atom
* energy relative to the lowest polymorph listed for this composition: 277.3 meV/atom

Cell lengths 5.503, 5.503, 5.506 Å; angles 90.00, 90.00, 90.00 degrees
Space group P4/mmm (No. 123)
Inequivalent atoms, fractional coordinates:
Y: 0.000 0.000 0.000 x1
Ti: 0.500 0.500 0.500 x1
Se: 0.000 0.000 0.500 x1
Br: 0.000 0.500 0.000 x2

---

7.
ZnIr2Pb: relaxed, GGA-PBE.

* energy relative to the lowest polymorph listed for this composition: 47.0 meV/atom
* calculated formation energy: 262 meV per atom

Cell lengths 6.436, 6.436, 6.436 Å; angles 90.00, 90.00, 90.00 degrees
Space group Fm-3m (No. 225)
Inequivalent atoms, fractional coordinates:
Zn: 0.000 0.000 0.000 x4
Ir: 0.250 0.250 0.250 x8
Pb: 0.000 0.000 0.500 x4

---

8.
Rb2HgH2Br6: relaxed, GGA-PBE.

Cell lengths 13.490, 7.851, 8.094 Å; angles 90.00, 117.33, 90.00 degrees
Space group C2/m (No. 12)
Inequivalent atoms, fractional coordinates:
Rb: 0.210 0.000 0.176 x4
Hg: 0.000 0.000 0.500 x2
H: 0.087 0.500 0.287 x4
Br: 0.059 0.242 0.772 x8
Br: 0.201 0.500 0.308 x4

---

| no. | total magnetization (Bohr magnetons per cell) | raw total energy (eV/atom) |
| --- | --- | --- |
| 1 | 0.000 | -8.00 |
| 2 | 23.478 | -5.12 |
| 3 | 0.003 | -2.70 |
| 4 | 0.000 | -2.21 |
| 5 | 21.852 | -3.92 |
| 6 | 0.130 | -4.63 |
| 7 | 0.000 | -5.41 |
| 8 | 0.000 | -2.53 |